Entry from Alexandria via LeMat-Bulk: a relaxed Sr2MnBe crystal (PBE).

It has space group Cmmm (No. 65), with a = 7.6394 Å, b = 7.6548 Å, c = 3.8653 Å, α = 90.00°, β = 90.00° and γ = 90.00°. The asymmetric unit holds Sr at (0.2500, 0.2500, 0.0000), Mn at (0.0000, 0.0000, 0.5000) and Be at (0.0000, 0.5000, 0.5000).

As for the energy: -3.453 eV/atom. The calculation puts the formation energy from the elements at 0.612 eV per atom.

---

Entry from Alexandria via LeMat-Bulk: a relaxed SrMn2Be crystal (PBE).

It has space group P4/mmm (No. 123), with a = 4.1612 Å, b = 4.1612 Å, c = 4.2092 Å, α = 90.00°, β = 90.00° and γ = 90.00°. The asymmetric unit holds Sr at (0.0000, 0.0000, 0.0000), Mn at (0.0000, 0.5000, 0.5000) and Be at (0.5000, 0.5000, 0.0000).

As for the energy: -5.038 eV/atom. The calculation puts the formation energy from the elements at 0.899 eV per atom.

---

Entry from Alexandria via LeMat-Bulk: a relaxed SrMn2Be crystal (PBE).

It has space group Imm2 (No. 44), with a = 3.0204 Å, b = 3.7174 Å, c = 13.9067 Å, α = 90.00°, β = 90.00° and γ = 90.00°. The asymmetric unit holds Sr at (0.0000, 0.0000, 0.0000), Mn at (0.0000, 0.0000, 0.3326), Mn at (0.0000, 0.5000, 0.1953) and Be at (0.0000, 0.5000, 0.7001).

As for the energy: -5.277 eV/atom. The calculation puts the formation energy from the elements at 0.660 eV per atom.

---

Entry from Alexandria via LeMat-Bulk: a relaxed Sr2MnBe crystal (PBE).

It has space group R-3m (No. 166, hexagonal axes), with a = 4.0781 Å, b = 4.0781 Å, c = 26.9302 Å, α = 90.00°, β = 90.00° and γ = 120.00°. The asymmetric unit holds Sr at (0.0000, 0.0000, 0.2438), Mn at (0.0000, 0.0000, 0.0000) and Be at (0.0000, 0.0000, 0.5000).

As for the energy: -3.229 eV/atom. The calculation puts the formation energy from the elements at 0.836 eV per atom.

---

Entry from Alexandria via LeMat-Bulk: a relaxed Sr2MnBe crystal (PBE).

It has space group Amm2 (No. 38), with a = 4.2599 Å, b = 4.8300 Å, c = 11.2860 Å, α = 90.00°, β = 90.00° and γ = 90.00°. The asymmetric unit holds Sr at (0.0000, 0.0000, 0.0000), Sr at (0.5000, 0.0000, 0.2891), Mn at (0.5000, 0.0000, 0.6045) and Be at (0.0000, 0.0000, 0.6912).

As for the energy: -3.651 eV/atom. The calculation puts the formation energy from the elements at 0.414 eV per atom.

---

Entry from Alexandria via LeMat-Bulk: a relaxed SrMnBe3 crystal (PBE).

It has space group Pm-3m (No. 221), with a = 4.3541 Å, b = 4.3541 Å, c = 4.3541 Å, α = 90.00°, β = 90.00° and γ = 90.00°. The asymmetric unit holds Sr at (0.0000, 0.0000, 0.0000), Mn at (0.5000, 0.5000, 0.5000) and Be at (0.0000, 0.5000, 0.5000).

As for the energy: -3.863 eV/atom. The calculation puts the formation energy from the elements at 0.543 eV per atom.